DFT (PBE-GGA) results for a relaxed structure of CsAs2Pd5.

Structure (POSCAR):
```
CsAs2Pd5
1.0
-2.465 -2.683 1.943
0.224 1.463 6.694
-5.366 3.509 2.426
Cs As Pd
1 2 5
Direct
0.000 0.000 0.000 Cs
0.773 0.727 0.727 As
0.227 0.273 0.273 As
0.000 0.500 0.500 Pd
0.669 0.520 0.142 Pd
0.331 0.480 0.858 Pd
0.331 0.858 0.480 Pd
0.669 0.142 0.520 Pd
```

Properties
Its size of the total moment is 0.000 μB per atom. The total energy is -4.829 eV/atom. Its formation energy from the elements is -0.31 eV per atom.

=====

DFT (PBE-GGA) results for a relaxed structure of Cs2AsPd2.

Structure (POSCAR):
```
Cs2AsPd2
1.0
-4.667 -2.172 -4.935
3.035 -4.307 4.177
-6.167 2.267 4.834
Cs As Pd
4 2 4
Direct
0.553 0.310 0.647 Cs
0.242 0.690 0.853 Cs
0.447 0.690 0.353 Cs
0.758 0.310 0.147 Cs
0.939 0.000 0.750 As
0.061 0.000 0.250 As
0.787 0.804 0.997 Pd
0.984 0.196 0.503 Pd
0.213 0.196 0.003 Pd
0.016 0.804 0.497 Pd
```

Properties
Its size of the total moment is 0.000 μB per atom. The total energy is -3.580 eV/atom. Its formation energy from the elements is -0.23 eV per atom.

=====

Which value of total energy does entry 2 give? -3.580 eV/atom